1.
! LiCo2B GGA-PBE relaxed; values from VASP
&SYSTEM
  ibrav = 0, nat = 4, ntyp = 3
/
ATOMIC_SPECIES
Li 6.94 Li.upf
Co 58.93 Co.upf
B 10.81 B.upf
ATOMIC_POSITIONS crystal
Li 0.000 0.000 0.000
Co 0.299 0.799 0.500
Co 0.701 0.201 0.500
B 0.500 0.500 0.000
CELL_PARAMETERS angstrom
-1.237 2.026 3.819
1.237 -2.026 3.819
1.237 2.026 -3.819
! Crystal system = orthorhombic
! E_tot = -5.71 eV/atom


2.
! LiCoB4 GGA-PBE relaxed; values from VASP
&SYSTEM
  ibrav = 0, nat = 24, ntyp = 3
/
ATOMIC_SPECIES
Li 6.94 Li.upf
Co 58.93 Co.upf
B 10.81 B.upf
ATOMIC_POSITIONS crystal
Li 0.123 0.153 0.000
Li 0.377 0.653 0.000
Li 0.623 0.347 0.000
Li 0.877 0.847 0.000
Co 0.130 0.415 0.000
Co 0.370 0.915 0.000
Co 0.630 0.085 0.000
Co 0.870 0.585 0.000
B 0.024 0.696 0.500
B 0.119 0.550 0.500
B 0.130 0.967 0.500
B 0.212 0.813 0.500
B 0.288 0.313 0.500
B 0.370 0.467 0.500
B 0.381 0.050 0.500
B 0.476 0.196 0.500
B 0.524 0.804 0.500
B 0.619 0.950 0.500
B 0.630 0.533 0.500
B 0.712 0.687 0.500
B 0.788 0.187 0.500
B 0.870 0.033 0.500
B 0.881 0.450 0.500
B 0.976 0.304 0.500
CELL_PARAMETERS angstrom
5.722 0.000 0.000
0.000 11.162 0.000
0.000 0.000 3.087
! Crystal system = orthorhombic
! E_tot = -6.11 eV/atom


3.
! LiCo2B GGA-PBE relaxed; values from VASP
&SYSTEM
  ibrav = 0, nat = 4, ntyp = 3
/
ATOMIC_SPECIES
Li 6.94 Li.upf
Co 58.93 Co.upf
B 10.81 B.upf
ATOMIC_POSITIONS crystal
Li 0.000 0.000 0.000
Co 0.000 0.272 0.272
Co 0.500 0.650 0.650
B 0.500 0.381 0.381
CELL_PARAMETERS angstrom
3.633 0.000 0.000
0.000 1.267 4.126
0.000 -1.267 4.126
! Crystal system = orthorhombic
! E_tot = -5.52 eV/atom


4.
! LiCo2B GGA-PBE relaxed; values from VASP
&SYSTEM
  ibrav = 0, nat = 4, ntyp = 3
/
ATOMIC_SPECIES
Li 6.94 Li.upf
Co 58.93 Co.upf
B 10.81 B.upf
ATOMIC_POSITIONS crystal
Li 0.000 0.000 0.000
Co 0.000 0.697 0.697
Co 0.500 0.338 0.338
B 0.500 0.165 0.165
CELL_PARAMETERS angstrom
2.943 0.000 0.000
0.000 1.238 6.034
0.000 -1.238 6.034
! Crystal system = orthorhombic
! E_tot = -5.58 eV/atom


5.
! LiCo2B GGA-PBE relaxed; values from VASP
&SYSTEM
  ibrav = 0, nat = 4, ntyp = 3
/
ATOMIC_SPECIES
Li 6.94 Li.upf
Co 58.93 Co.upf
B 10.81 B.upf
ATOMIC_POSITIONS crystal
Li 0.000 0.000 0.000
Co 0.000 0.500 0.500
Co 0.500 0.000 0.500
B 0.500 0.500 0.000
CELL_PARAMETERS angstrom
3.613 0.000 0.000
0.000 3.613 0.000
0.000 0.000 2.612
! Crystal system = tetragonal
! E_tot = -5.59 eV/atom


6.
! Li3CoB GGA-PBE relaxed; values from VASP
&SYSTEM
  ibrav = 0, nat = 5, ntyp = 3
/
ATOMIC_SPECIES
Li 6.94 Li.upf
Co 58.93 Co.upf
B 10.81 B.upf
ATOMIC_POSITIONS crystal
Li 0.000 0.000 0.500
Li 0.000 0.500 0.000
Li 0.500 0.000 0.000
Co 0.000 0.000 0.000
B 0.500 0.500 0.500
CELL_PARAMETERS angstrom
4.327 0.000 0.000
0.000 4.327 0.000
0.000 0.000 4.327
! Crystal system = cubic
! E_tot = -2.52 eV/atom


7.
! LiCo3B GGA-PBE relaxed; values from VASP
&SYSTEM
  ibrav = 0, nat = 5, ntyp = 3
/
ATOMIC_SPECIES
Li 6.94 Li.upf
Co 58.93 Co.upf
B 10.81 B.upf
ATOMIC_POSITIONS crystal
Li 0.000 0.000 0.000
Co 0.000 0.500 0.500
Co 0.500 0.000 0.500
Co 0.500 0.500 0.000
B 0.500 0.500 0.500
CELL_PARAMETERS angstrom
3.805 0.000 0.000
0.000 3.805 0.000
0.000 0.000 3.805
! Distance to the lowest polymorph of the same formula = 0 meV/atom
! Crystal system = cubic


8.
! LiCoB3 GGA-PBE relaxed; values from VASP
&SYSTEM
  ibrav = 0, nat = 5, ntyp = 3
/
ATOMIC_SPECIES
Li 6.94 Li.upf
Co 58.93 Co.upf
B 10.81 B.upf
ATOMIC_POSITIONS crystal
Li 0.000 0.000 0.000
Co 0.500 0.500 0.500
B 0.000 0.500 0.500
B 0.500 0.000 0.500
B 0.500 0.500 0.000
CELL_PARAMETERS angstrom
3.742 0.000 0.000
0.000 3.742 0.000
0.000 0.000 3.742
! Distance to the lowest polymorph of the same formula = 0 meV/atom
! Crystal system = cubic


9.
! LiCo2B GGA-PBE relaxed; values from VASP
&SYSTEM
  ibrav = 0, nat = 4, ntyp = 3
/
ATOMIC_SPECIES
Li 6.94 Li.upf
Co 58.93 Co.upf
B 10.81 B.upf
ATOMIC_POSITIONS crystal
Li 0.000 0.000 0.000
Co 0.000 0.727 0.727
Co 0.500 0.435 0.435
B 0.500 0.167 0.167
CELL_PARAMETERS angstrom
3.475 0.000 0.000
0.000 1.275 3.913
0.000 -1.275 3.913
! Crystal system = orthorhombic
! E_tot = -5.53 eV/atom


10.
! LiCoB3 GGA-PBE relaxed; values from VASP
&SYSTEM
  ibrav = 0, nat = 5, ntyp = 3
/
ATOMIC_SPECIES
Li 6.94 Li.upf
Co 58.93 Co.upf
B 10.81 B.upf
ATOMIC_POSITIONS crystal
Li 0.000 0.000 0.000
Co 0.500 0.500 0.500
B 0.000 0.000 0.500
B 0.000 0.500 0.000
B 0.500 0.000 0.000
CELL_PARAMETERS angstrom
3.452 0.000 0.000
0.000 3.452 0.000
0.000 0.000 3.452
! Distance to the lowest polymorph of the same formula = 1292 meV/atom
! Crystal system = cubic


no.,theoretical density (g/cm³)
1,5.88
2,3.68
3,5.93
4,5.12
5,6.61
6,1.86
7,5.86
8,3.12
9,6.49
10,3.97